# MgCrSeN2 PBE-GGA optimized geometry
# ΔE_f (raw) ... 1609.4 meV per atom
# Density of states at the Fermi level ... 0.96 states/eV/atom
data_MgCrSeN2
_symmetry_space_group_name_H-M 'P 4/m m m'
_symmetry_Int_Tables_number 123
_symmetry_space_group_name_Hall '-P 4 2'
_cell_length_a 3.855
_cell_length_b 3.855
_cell_length_c 5.171
_cell_angle_alpha 90.00
_cell_angle_beta 90.00
_cell_angle_gamma 90.00
loop_
_atom_site_label
_atom_site_type_symbol
_atom_site_fract_x
_atom_site_fract_y
_atom_site_fract_z
Mg1 Mg 0.000 0.000 0.000
Cr1 Cr 0.500 0.500 0.500
Se1 Se 0.000 0.000 0.500
N1 N 0.000 0.500 0.000